[1]
First-principles (GGA-PBE) data for an optimized crystal structure of CaPuTl6, as listed in the Alexandria database.

```
CaPuTl6
1.0
4.8311 0.0000 0.0000
0.0000 4.8311 0.0000
0.0000 0.0000 9.6461
Ca Pu Tl
1 1 6
Direct
0.0000 0.0000 0.0000
0.0000 0.0000 0.5000
0.0000 0.5000 0.2527
0.0000 0.5000 0.7473
0.5000 0.0000 0.2527
0.5000 0.0000 0.7473
0.5000 0.5000 0.0000
0.5000 0.5000 0.5000
```

Computed properties:
**E_form**: -125 meV/atom
**Total moment**: 5.83 μB/cell
**Electronic total energy**: -31.53 eV for the cell shown



[2]
First-principles (GGA-PBE) data for an optimized crystal structure of B3P2, as listed in the Alexandria database.

```
B3P2
1.0
3.2008 0.0000 0.0000
0.1269 3.5604 0.0000
0.3221 1.4884 4.4484
B P
3 2
Direct
0.0000 0.0000 0.0000
0.0901 0.9837 0.3785
0.5551 0.2373 0.3684
0.5182 0.6872 0.0073
0.8638 0.4481 0.6411
```

Computed properties:
**Energy relative to the lowest polymorph listed for this composition**: 10.1 kJ per mole of atoms
**E_form**: 241 meV/atom
**Total moment**: 0.00 μB/cell
**Electronic total energy**: -29.65 eV for the cell shown



[3]
First-principles (GGA-PBE) data for an optimized crystal structure of CaErTcN3, as listed in the Alexandria database.

```
CaErTcN3
1.0
7.2214 0.0000 0.0000
0.0000 3.4343 0.0000
-1.8043 0.0000 8.2446
Ca Er Tc N
2 2 2 6
Direct
0.1782 0.2500 0.1438
0.8218 0.7500 0.8562
0.3740 0.7500 0.8471
0.6260 0.2500 0.1529
0.0516 0.2500 0.6178
0.9484 0.7500 0.3822
0.0844 0.2500 0.8411
0.1774 0.7500 0.5700
0.4124 0.7500 0.1211
0.5876 0.2500 0.8789
0.8226 0.2500 0.4300
0.9156 0.7500 0.1589
```

Computed properties:
**ΔE_f (raw)**: -4.687 eV per formula unit
**Total moment**: 0.00 μB/cell
**Electronic total energy**: -93.19 eV for the cell shown